Here is AgSBrCl2 after structural relaxation from Alexandria. Energies are from PBE.

## Properties
- Formation energy without anion corrections: 0.423 eV/atom
- Final energy: -2.046 eV per atom
- Density of states at the Fermi level: 6.5 states/eV/f.u.
- Magnetic moment: 0.0 μB per formula unit
- SG: P4/mmm, No. 123

CIF file:
```
data_AgSBrCl2
_chemical_formula_sum 'Ag1 S1 Br1 Cl2'
_cell_length_a 4.825
_cell_length_b 4.825
_cell_length_c 5.266
_cell_angle_alpha 90.00
_cell_angle_beta 90.00
_cell_angle_gamma 90.00
_space_group_name_H-M_alt 'P 1'
_space_group_IT_number 1
_space_group_name_Hall 'P 1'
loop_
_atom_site_label
_atom_site_type_symbol
_atom_site_fract_x
_atom_site_fract_y
_atom_site_fract_z
Br1 Br 0.500 0.500 0.500
Cl1 Cl 0.000 0.500 0.000
Cl2 Cl 0.500 0.000 0.000
S1 S 0.000 0.000 0.500
Ag1 Ag 0.000 0.000 0.000
```

Here is LaCoCl2 after structural relaxation from Alexandria. Energies are from PBE.

## Properties
- Formation energy without anion corrections: -0.845 eV/atom
- Final energy: -4.776 eV per atom
- Density of states at the Fermi level: 2.1 states/eV/f.u.
- Magnetic moment: 0.5 μB per formula unit
- SG: Imm2, No. 44

CIF file:
```
data_LaCoCl2
_chemical_formula_sum 'La1 Co1 Cl2'
_cell_length_a 7.448
_cell_length_b 7.448
_cell_length_c 7.448
_cell_angle_alpha 152.52
_cell_angle_beta 148.49
_cell_angle_gamma 42.29
_space_group_name_H-M_alt 'P 1'
_space_group_IT_number 1
_space_group_name_Hall 'P 1'
loop_
_atom_site_label
_atom_site_type_symbol
_atom_site_fract_x
_atom_site_fract_y
_atom_site_fract_z
Cl1 Cl 0.980 0.980 0.000
Co1 Co 0.466 0.466 0.000
Cl2 Cl 0.725 0.225 0.500
La1 La 0.329 0.829 0.500
```

Here is PaAgHgSb after structural relaxation from Alexandria. Energies are from PBE.

## Properties
- Formation energy without anion corrections: -0.025 eV/atom
- Final energy: -4.218 eV per atom
- Density of states at the Fermi level: 6.6 states/eV/f.u.
- Magnetic moment: 1.2 μB per formula unit
- SG: F-43m, No. 216

CIF file:
```
data_PaAgHgSb
_chemical_formula_sum 'Pa1 Ag1 Hg1 Sb1'
_cell_length_a 5.140
_cell_length_b 5.140
_cell_length_c 5.140
_cell_angle_alpha 60.00
_cell_angle_beta 60.00
_cell_angle_gamma 60.00
_space_group_name_H-M_alt 'P 1'
_space_group_IT_number 1
_space_group_name_Hall 'P 1'
loop_
_atom_site_label
_atom_site_type_symbol
_atom_site_fract_x
_atom_site_fract_y
_atom_site_fract_z
Hg1 Hg 0.000 0.000 0.000
Sb1 Sb 0.500 0.500 0.500
Ag1 Ag 0.250 0.250 0.250
Pa1 Pa 0.750 0.750 0.750
```

Here is TbPm2NdDy after structural relaxation from Alexandria. Energies are from PBE.

## Properties
- Final energy: -4.310 eV per atom
- Density of states at the Fermi level: 7.8 states/eV/f.u.
- Energy of formation from the pure elements: 0.390 eV/atom
- Magnetic moment: 0.0 μB per formula unit
- SG: Cmcm, No. 63

CIF file:
```
data_TbPm2NdDy
_chemical_formula_sum 'Tb2 Pm4 Nd2 Dy2'
_cell_length_a 7.246
_cell_length_b 8.454
_cell_length_c 7.215
_cell_angle_alpha 125.87
_cell_angle_beta 90.00
_cell_angle_gamma 90.00
_space_group_name_H-M_alt 'P 1'
_space_group_IT_number 1
_space_group_name_Hall 'P 1'
loop_
_atom_site_label
_atom_site_type_symbol
_atom_site_fract_x
_atom_site_fract_y
_atom_site_fract_z
Tb1 Tb 0.750 0.011 0.021
Pm1 Pm 0.000 0.691 0.000
Dy1 Dy 0.750 0.733 0.467
Nd1 Nd 0.250 0.725 0.450
Pm2 Pm 0.500 0.309 0.000
Nd2 Nd 0.750 0.275 0.550
Pm3 Pm 0.500 0.691 0.000
Tb2 Tb 0.250 0.989 0.979
Dy2 Dy 0.250 0.267 0.533
Pm4 Pm 0.000 0.309 0.000
```